# 1
The following is a PBE calculation of a geometry-optimized Zr2AlGaCo4 structure, from the Open Quantum Materials Database.

a b c (Å): 4.0738 4.0738 8.0896
angles (deg): 90.00 90.00 120.00
Closest atoms and distances in Å follow each position.
Space group P-3m1 (No. 164)
Asymmetric unit:
Zr: 0.3333 0.6667 0.2503 (multiplicity 2)  8 Co 2.67-2.78
Al: 0.0000 0.0000 0.0000 (multiplicity 1)  6 Co 2.47
Ga: 0.0000 0.0000 0.5000 (multiplicity 1)  6 Co 2.47
Co: 0.3333 0.6667 0.5921 (multiplicity 2)  3 Ga 2.47, 1 Co 2.55, 3 Zr 2.68
Co: 0.3333 0.6667 0.9070 (multiplicity 2)  3 Al 2.47, 1 Co 2.55, 3 Zr 2.67

Output
As for the magnetization: 0.0 μB/f.u.


# 2
The following is a PBE calculation of a geometry-optimized AcTh3Os structure, from the Open Quantum Materials Database.

a b c (Å): 5.6210 5.6210 5.6210
angles (deg): 90.00 90.00 90.00
Closest atoms and distances in Å follow each position.
Space group Pm-3m (No. 221)
Asymmetric unit:
Ac: 0.0000 0.0000 0.0000 (multiplicity 1)  12 Th 3.97
Th: 0.0000 0.5000 0.5000 (multiplicity 3)  2 Os 2.81
Os: 0.5000 0.5000 0.5000 (multiplicity 1)  6 Th 2.81

Output
As for the magnetization: 0.0 μB/f.u. Its calculated formation energy is 0.01 eV per atom.


# 3
The following is a PBE calculation of a geometry-optimized Ba2InOsSe6 structure, from the Open Quantum Materials Database.

a b c (Å): 10.4169 10.4169 10.4169
angles (deg): 90.00 90.00 90.00
Closest atoms and distances in Å follow each position.
Space group Fm-3m (No. 225)
Asymmetric unit:
Ba: 0.2500 0.2500 0.2500 (multiplicity 8)  12 Se 3.68
In: 0.0000 0.0000 0.0000 (multiplicity 4)  6 Se 2.71
Os: 0.0000 0.0000 0.5000 (multiplicity 4)  6 Se 2.50
Se: 0.0000 0.0000 0.2597 (multiplicity 24)  1 Os 2.50, 1 In 2.71

Output
As for the magnetization: 3.0 μB/f.u. The distance to the lowest polymorph of the same formula is 1.091 eV per formula unit.


# 4
The following is a PBE calculation of a geometry-optimized La2DyNi2B2N3 structure, from the Open Quantum Materials Database.

a b c (Å): 3.6796 3.6796 19.6954
angles (deg): 90.00 90.00 90.00
Closest atoms and distances in Å follow each position.
Space group I4/mmm (No. 139)
Asymmetric unit:
La: 0.0000 0.0000 0.1272 (multiplicity 4)  5 N 2.51-2.60
Dy: 0.0000 0.0000 0.5000 (multiplicity 2)  6 N 2.39-2.60
Ni: 0.0000 0.5000 0.2500 (multiplicity 4)  4 B 2.14
B: 0.0000 0.0000 0.3050 (multiplicity 4)  1 N 1.45
N: 0.0000 0.0000 0.0000 (multiplicity 2)  2 La 2.51, 4 Dy 2.60
N: 0.0000 0.0000 0.3788 (multiplicity 4)  1 B 1.45

Output
As for the magnetization: 0.0 μB/f.u.


# 5
The following is a PBE calculation of a geometry-optimized HfMg2Fe structure, from the Open Quantum Materials Database.

a b c (Å): 6.5025 6.5025 6.5025
angles (deg): 90.00 90.00 90.00
Closest atoms and distances in Å follow each position.
Space group F-43m (No. 216)
Asymmetric unit:
Hf: 0.0000 0.0000 0.0000 (multiplicity 4)  4 Fe 2.82, 4 Mg 2.82
Mg: 0.0000 0.0000 0.5000 (multiplicity 4)  4 Mg 2.82, 4 Fe 2.82
Mg: 0.2500 0.2500 0.7500 (multiplicity 4)  4 Hf 2.82, 4 Mg 2.82
Fe: 0.2500 0.2500 0.2500 (multiplicity 4)  4 Hf 2.82, 4 Mg 2.82

Output
As for the magnetization: 1.4 μB/f.u.


# 6
The following is a PBE calculation of a geometry-optimized GdTm2Sn3Pt3 structure, from the Open Quantum Materials Database.

a b c (Å): 4.0079 13.0092 7.4697
angles (deg): 90.00 90.00 90.00
Closest atoms and distances in Å follow each position.
Space group Amm2 (No. 38)
Asymmetric unit:
Gd: 0.0000 0.0000 0.0000 (multiplicity 2)  5 Pt 3.06, 6 Sn 3.20-3.34
Tm: 0.0000 0.2026 0.6090 (multiplicity 4)  5 Pt 3.02-3.03, 6 Sn 3.22-3.34
Sn: 0.5000 0.0000 0.6662 (multiplicity 2)  4 Pt 2.77-2.84
Sn: 0.5000 0.1295 0.2774 (multiplicity 4)  4 Pt 2.79-2.83
Pt: 0.0000 0.0000 0.4097 (multiplicity 2)  6 Sn 2.77-2.80, 2 Tm 3.03, 1 Gd 3.06
Pt: 0.5000 0.1692 0.9053 (multiplicity 4)  3 Sn 2.79-2.84, 4 Tm 3.02, 2 Gd 3.06

Output
As for the magnetization: 0.0 μB/f.u.


# 7
The following is a PBE calculation of a geometry-optimized AlGa2Cu structure, from the Open Quantum Materials Database.

a b c (Å): 6.3482 6.3482 6.3482
angles (deg): 90.00 90.00 90.00
Closest atoms and distances in Å follow each position.
Space group F-43m (No. 216)
Asymmetric unit:
Al: 0.0000 0.0000 0.0000 (multiplicity 4)  4 Cu 2.75, 4 Ga 2.75
Ga: 0.0000 0.0000 0.5000 (multiplicity 4)  4 Cu 2.75, 4 Ga 2.75
Ga: 0.2500 0.2500 0.7500 (multiplicity 4)  4 Al 2.75, 4 Ga 2.75
Cu: 0.2500 0.2500 0.2500 (multiplicity 4)  4 Al 2.75, 4 Ga 2.75


# 8
The following is a PBE calculation of a geometry-optimized Tb2PdN3 structure, from the Open Quantum Materials Database.

a b c (Å): 3.3630 3.8214 12.6455
angles (deg): 90.00 90.00 90.00
Closest atoms and distances in Å follow each position.
Space group Immm (No. 71)
Asymmetric unit:
Tb: 0.0000 0.0000 0.1523 (multiplicity 4)  1 N 2.27
Pd: 0.0000 0.0000 0.5000 (multiplicity 2)  4 N 1.91-2.12
N: 0.0000 0.0000 0.3320 (multiplicity 4)  1 Pd 2.12, 1 Tb 2.27
N: 0.0000 0.5000 0.5000 (multiplicity 2)  2 Pd 1.91

Output
As for the magnetization: 0.1 μB/f.u.


# 9
The following is a PBE calculation of a geometry-optimized Sm2SeF4 structure, from the Open Quantum Materials Database.

a b c (Å): 4.0119 4.0119 22.3072
angles (deg): 90.00 90.00 120.00
Closest atoms and distances in Å follow each position.
Space group R-3m (No. 166, hexagonal axes)
Asymmetric unit:
Sm: 0.0000 0.0000 0.2432 (multiplicity 6)  7 F 2.32-2.56
Se: 0.0000 0.0000 0.0000 (multiplicity 3)  6 Sm 3.07, 8 F 3.09-3.17
F: 0.0000 0.0000 0.1387 (multiplicity 6)  4 Sm 2.33-2.56, 3 F 2.50
F: 0.0000 0.0000 0.4303 (multiplicity 6)  3 Sm 2.32, 3 F 2.50

Output
As for the magnetization: 0.0 μB/f.u.


# 10
The following is a PBE calculation of a geometry-optimized Hf2CoTc structure, from the Open Quantum Materials Database.

a b c (Å): 6.3647 6.3738 3.2498
angles (deg): 90.00 90.00 90.00
Closest atoms and distances in Å follow each position.
Space group Cmmm (No. 65)
Asymmetric unit:
Hf: 0.2500 0.2500 0.0000 (multiplicity 4)  4 Co 2.78, 4 Tc 2.78
Co: 0.0000 0.0000 0.5000 (multiplicity 2)  8 Hf 2.78
Tc: 0.0000 0.5000 0.5000 (multiplicity 2)  8 Hf 2.78

Output
As for the magnetization: 0.0 μB/f.u. Its calculated formation energy is -0.49 eV per atom. The distance to the lowest polymorph of the same formula is 0.034 eV per formula unit.


# 11
The following is a PBE calculation of a geometry-optimized PmGePO structure, from the Open Quantum Materials Database.

a b c (Å): 5.7272 5.7272 4.8154
angles (deg): 90.00 90.00 90.00
Closest atoms and distances in Å follow each position.
Space group P4/nmm (No. 129, origin choice 2)
Asymmetric unit:
Pm: 0.2500 0.7500 0.0000 (multiplicity 2)  2 O 2.41
Ge: 0.2500 0.2500 0.4985 (multiplicity 2)  2 P 2.41
P: 0.2500 0.2500 0.9984 (multiplicity 2)  2 Ge 2.41
O: 0.2500 0.7500 0.5000 (multiplicity 2)  2 Pm 2.41

Output
As for the magnetization: 0.0 μB/f.u. The distance to the lowest polymorph of the same formula is 1.432 eV per formula unit.


# 12
The following is a PBE calculation of a geometry-optimized TbSm2Ge4Pd4 structure, from the Open Quantum Materials Database.

a b c (Å): 4.2528 7.1129 14.1880
angles (deg): 90.00 90.00 90.00
Closest atoms and distances in Å follow each position.
Space group Immm (No. 71)
Asymmetric unit:
Tb: 0.0000 0.0000 0.0000 (multiplicity 2)  6 Ge 3.06-3.07
Sm: 0.0000 0.5000 0.1265 (multiplicity 4)  6 Ge 3.08-3.10, 6 Pd 3.09-3.15
Ge: 0.0000 0.0000 0.2166 (multiplicity 4)  6 Pd 2.62-2.63
Ge: 0.0000 0.1906 0.5000 (multiplicity 4)  2 Pd 2.61, 1 Ge 2.71
Pd: 0.0000 0.3001 0.3245 (multiplicity 8)  4 Ge 2.61-2.63, 1 Pd 2.84

Output
As for the magnetization: 0.0 μB/f.u.


# 13
The following is a PBE calculation of a geometry-optimized RbLaHgS3 structure, from the Open Quantum Materials Database.

a b c (Å): 8.4283 4.3046 10.6650
angles (deg): 90.00 106.59 90.00
Closest atoms and distances in Å follow each position.
Space group P2_1/m (No. 11)
Asymmetric unit:
Rb: 0.2378 0.2500 0.2184 (multiplicity 2)  6 S 3.39-3.71
La: 0.1919 0.7500 0.6314 (multiplicity 2)  5 S 2.81-2.92
Hg: 0.4060 0.2500 0.8844 (multiplicity 2)  3 S 2.51-2.61
S: 0.0327 0.7500 0.3617 (multiplicity 2)  3 La 2.81-2.88
S: 0.2673 0.7500 0.9429 (multiplicity 2)  3 Hg 2.61-2.84
S: 0.4334 0.2500 0.6563 (multiplicity 2)  1 Hg 2.51

Output
As for the magnetization: 0.0 μB/f.u.


| no. | DFT total energy (Ha/atom) | volume (Å³/cell) |
| --- | --- | --- |
| 1 | -0.25432 | 116 |
| 2 | -0.27568 | 178 |
| 3 | -0.16715 | 1130 |
| 4 | -0.27439 | 267 |
| 5 | -0.18774 | 275 |
| 6 | -0.21882 | 389 |
| 7 | -0.12034 | 256 |
| 8 | -0.27277 | 163 |
| 9 | -0.23833 | 311 |
| 10 | -0.36123 | 132 |
| 11 | -0.22070 | 158 |
| 12 | -0.21048 | 429 |
| 13 | -0.16044 | 371 |